VASP calculation (PBE-GGA) on an optimized crystal structure of BaNb4Te8.

Results
formation energy without anion corrections = -50.99 kJ per mole of atoms
total magnetization = 0.0 Bohr magnetons per cell
N(E_F) = 15.1 states/eV per cell
raw total energy = -0.2098 Ha/atom

abc: 18.7155 3.7804 13.2367
angles: 90.00 130.48 90.00
Space group C2/m (No. 12)
One atom of each set of equivalent atoms:
Ba1 0.0000 0.0000 0.0000 [2 per cell]
Nb1 0.1616 0.0000 0.4733 [4 per cell]
Nb2 0.1833 0.5000 0.8644 [4 per cell]
Te1 0.0366 0.0000 0.7489 [4 per cell]
Te2 0.1222 0.5000 0.5931 [4 per cell]
Te3 0.1504 0.5000 0.3048 [4 per cell]
Te4 0.1860 0.5000 0.0760 [4 per cell]

VASP calculation (PBE-GGA) on an optimized crystal structure of LiAc3Rh.

Results
energy above the lowest structure with this stoichiometry = 0.000 eV/atom
total magnetization = 0.0 Bohr magnetons per cell
energy relative to the elements = -0.274 eV/atom
N(E_F) = 20.6 states/eV per cell
raw total energy = -0.1688 Ha/atom

abc: 10.0490 7.2876 10.9144
angles: 90.00 114.38 90.00
Space group P2_1/c (No. 14)
One atom of each set of equivalent atoms:
Li1 0.0616 0.1581 0.0652 [4 per cell]
Ac1 0.1374 0.5908 0.2404 [4 per cell]
Ac2 0.2883 0.0807 0.4447 [4 per cell]
Ac3 0.4151 0.5790 0.6401 [4 per cell]
Rh1 0.4227 0.7504 0.3924 [4 per cell]

VASP calculation (PBE-GGA) on an optimized crystal structure of TbPuOsPd.

Results
total magnetization = 18.8 Bohr magnetons per cell
energy relative to the elements = -0.313 eV/atom
N(E_F) = 34.1 states/eV per cell
raw total energy = -0.3366 Ha/atom

abc: 6.9068 6.9068 6.9068
angles: 90.00 90.00 90.00
Space group F-43m (No. 216)
One atom of each set of equivalent atoms:
Tb1 0.0000 0.0000 0.0000 [4 per cell]
Pu1 0.0000 0.0000 0.5000 [4 per cell]
Os1 0.2500 0.2500 0.7500 [4 per cell]
Pd1 0.2500 0.2500 0.2500 [4 per cell]

VASP calculation (PBE-GGA) on an optimized crystal structure of Ce2ErTh3.

Results
total magnetization = 0.0 Bohr magnetons per cell
energy relative to the elements = 0.200 eV/atom
N(E_F) = 57.5 states/eV per cell
raw total energy = -0.2296 Ha/atom

abc: 10.0297 11.5988 7.2604
angles: 90.00 119.27 90.00
Space group C2/c (No. 15)
One atom of each set of equivalent atoms:
Ce1 0.1502 0.2502 0.2797 [8 per cell]
Er1 0.0000 0.2476 0.7500 [4 per cell]
Th1 0.0000 0.0000 0.0000 [4 per cell]
Th2 0.1689 0.4963 0.0072 [8 per cell]

VASP calculation (PBE-GGA) on an optimized crystal structure of CeCrC.

Results
energy above the lowest structure with this stoichiometry = 0.091 eV/atom
total magnetization = 0.7 Bohr magnetons per cell
energy relative to the elements = 0.200 eV/atom
N(E_F) = 6.4 states/eV per cell
raw total energy = -0.2962 Ha/atom

abc: 2.8323 2.8323 9.8567
angles: 90.00 90.00 90.00
Space group I4mm (No. 107)
One atom of each set of equivalent atoms:
Ce1 0.0000 0.0000 0.0000 [2 per cell]
Cr1 0.0000 0.0000 0.2663 [2 per cell]
C1 0.0000 0.0000 0.7120 [2 per cell]

VASP calculation (PBE-GGA) on an optimized crystal structure of AsPbSe2.

Results
formation energy without anion corrections = -2.06 kJ per mole of atoms
energy above the lowest structure with this stoichiometry = 0.172 eV/atom
total magnetization = 0.0 Bohr magnetons per cell
N(E_F) = 2.6 states/eV per cell
raw total energy = -0.1416 Ha/atom

abc: 3.7607 6.1733 10.9525
angles: 90.00 90.00 90.00
Space group Imm2 (No. 44)
One atom of each set of equivalent atoms:
As1 0.0000 0.0000 0.0000 [2 per cell]
Pb1 0.0000 0.5000 0.9230 [2 per cell]
Se1 0.0000 0.0000 0.6066 [2 per cell]
Se2 0.0000 0.5000 0.3512 [2 per cell]